[1]
The following is a GGA-PBE calculation of crystalline CsHS2 at its relaxed geometry, from Alexandria via LeMat-Bulk.

The structure in POSCAR format:
```
CsHS2
1.0
1.9012 4.3436 1.5869
4.7561 -1.0370 1.1421
2.6424 1.7227 -3.8794
S Cs H
2 1 1
direct
0.8469 0.8469 0.8469
0.1531 0.1531 0.1531
0.5000 0.5000 0.5000
0.0000 0.0000 0.0000
```

Output
The volume comes out at 28.627 Å³ per atom. The density of states at the Fermi level is 3.31 states/eV per cell. The space group is R-3m.

[2]
The following is a GGA-PBE calculation of crystalline Pm7Pr2Mg at its relaxed geometry, from Alexandria via LeMat-Bulk.

The structure in POSCAR format:
```
Pm7Pr2Mg
1.0
5.5564 0.0000 0.0000
0.0000 9.2869 -0.5589
0.0000 -4.6887 8.0360
Pm Pr Mg
7 2 1
direct
0.5000 0.7139 0.9290
0.0000 0.2194 0.7807
0.5000 0.5000 0.5000
0.5000 0.9290 0.7139
0.5000 0.2861 0.0710
0.0000 0.7806 0.2193
0.5000 0.0710 0.2861
0.5000 0.7074 0.2926
0.5000 0.2926 0.7074
0.0000 0.0000 0.0000
```

Output
The volume comes out at 40.011 Å³ per atom. The density of states at the Fermi level is 13.87 states/eV per cell. The energy of formation from the pure elements is 0.589 eV/atom. The space group is Cmmm.

[3]
The following is a GGA-PBE calculation of crystalline Rb2TaClF6 at its relaxed geometry, from Alexandria via LeMat-Bulk.

The structure in POSCAR format:
```
Rb2TaClF6
1.0
-2.7555 -6.2171 2.0216
3.0845 -3.1706 -5.5466
4.2401 -5.5957 1.0194
Ta Rb F Cl
1 2 6 1
direct
0.0000 0.0000 0.0000
0.7500 0.2500 0.5000
0.2500 0.7500 0.5000
0.8084 0.1916 0.0000
0.8084 0.8084 0.3832
0.8084 0.8084 0.0000
0.1916 0.1916 0.0000
0.1916 0.1916 0.6168
0.1916 0.8084 0.0000
0.5000 0.5000 0.0000
```

Output
The volume comes out at 25.248 Å³ per atom. The density of states at the Fermi level is 0.00 states/eV per cell. The space group is Fm-3m.

[4]
The following is a GGA-PBE calculation of crystalline BaIn2Pt2 at its relaxed geometry, from Alexandria via LeMat-Bulk.

The structure in POSCAR format:
```
BaIn2Pt2
1.0
-1.5768 -3.5742 -2.4406
-0.1894 -2.5380 3.8393
-6.3962 -1.2524 1.6197
Pt Ba In
2 1 2
direct
0.6158 0.6158 0.7685
0.3842 0.3842 0.2315
0.0000 0.0000 0.0000
0.2500 0.7500 0.5000
0.7500 0.2500 0.5000
```

Output
The volume comes out at 24.923 Å³ per atom. The density of states at the Fermi level is 3.21 states/eV per cell. The energy of formation from the pure elements is -0.673 eV/atom. The space group is I4/mmm.

[5]
The following is a GGA-PBE calculation of crystalline Tl3H2Se3 at its relaxed geometry, from Alexandria via LeMat-Bulk.

The structure in POSCAR format:
```
Tl3H2Se3
1.0
-7.8968 4.3703 8.4717
-3.0653 -2.1578 -1.7442
3.3883 -12.6351 9.6764
Se Tl H
12 12 8
direct
0.4631 0.7515 0.2500
0.3891 0.7760 0.9422
0.0369 0.2515 0.2500
0.5369 0.2485 0.7500
0.8891 0.7240 0.4422
0.6109 0.2240 0.0578
0.3891 0.7760 0.5578
0.1109 0.2760 0.9422
0.9631 0.7485 0.7500
0.8891 0.7240 0.0578
0.1109 0.2760 0.5578
0.6109 0.2240 0.4422
0.8639 0.7319 0.2500
0.3639 0.7681 0.7500
0.1361 0.2681 0.7500
0.6214 0.7183 0.6162
0.3786 0.2817 0.3838
0.8786 0.2183 0.8838
0.3786 0.2817 0.1162
0.1214 0.7817 0.3838
0.1214 0.7817 0.1162
0.6361 0.2319 0.2500
0.6214 0.7183 0.8838
0.8786 0.2183 0.6162
0.1516 0.9395 0.9316
0.6516 0.5605 0.4316
0.3484 0.4395 0.9316
0.8484 0.0605 0.4316
0.6516 0.5605 0.0684
0.1516 0.9395 0.5684
0.8484 0.0605 0.0684
0.3484 0.4395 0.5684
```

Output
The volume comes out at 26.024 Å³ per atom. The density of states at the Fermi level is 12.95 states/eV per cell. The space group is Pnma.

[6]
The following is a GGA-PBE calculation of crystalline ErB6Mo2 at its relaxed geometry, from Alexandria via LeMat-Bulk.

The structure in POSCAR format:
```
ErB6Mo2
1.0
-0.7337 -3.0108 0.3637
3.2391 -2.8615 -3.7701
4.2258 -2.2665 3.1464
B Mo Er
6 2 1
direct
0.1933 0.0488 0.5645
0.8067 0.9512 0.4355
0.1933 0.5645 0.0488
0.8067 0.4355 0.9512
0.0000 0.1734 0.8266
0.0000 0.8266 0.1734
0.6540 0.8460 0.8460
0.3460 0.1540 0.1540
0.5000 0.5000 0.5000
```

Output
The volume comes out at 10.362 Å³ per atom. The density of states at the Fermi level is 3.26 states/eV per cell. The energy of formation from the pure elements is -0.484 eV/atom. The space group is Immm.

[7]
The following is a GGA-PBE calculation of crystalline MnAsAu2 at its relaxed geometry, from Alexandria via LeMat-Bulk.

The structure in POSCAR format:
```
MnAsAu2
1.0
-0.0883 -3.7369 -0.4023
1.7789 0.2110 -2.3505
5.9945 -0.4159 2.5481
Au As Mn
2 1 1
direct
0.5000 0.1801 0.2679
0.0000 0.8120 0.0143
0.5000 0.9582 0.7001
0.0000 0.5498 0.5177
```

Output
The volume comes out at 17.609 Å³ per atom. The density of states at the Fermi level is 1.70 states/eV per cell. The energy of formation from the pure elements is 0.037 eV/atom. The space group is Pm.

[8]
The following is a GGA-PBE calculation of crystalline ZrSnHg2Se at its relaxed geometry, from Alexandria via LeMat-Bulk.

The structure in POSCAR format:
```
ZrSnHg2Se
1.0
-3.1012 4.2675 0.8998
-3.0644 -1.2997 -4.3973
-3.1905 -2.9727 3.1021
Hg Sn Se Zr
2 1 1 1
direct
0.0000 0.0000 0.5000
0.5000 0.0000 0.0000
0.0000 0.0000 0.0000
0.0000 0.5000 0.0000
0.5000 0.5000 0.5000
```

Output
The volume comes out at 31.590 Å³ per atom. The density of states at the Fermi level is 6.46 states/eV per cell. The space group is P4/mmm.

[9]
The following is a GGA-PBE calculation of crystalline NdSmDy5Tm2 at its relaxed geometry, from Alexandria via LeMat-Bulk.

The structure in POSCAR format:
```
NdSmDy5Tm2
1.0
-0.4464 -5.3346 -1.6490
9.7682 1.1665 3.0956
-2.7689 -2.7946 9.7904
Nd Dy Tm Sm
2 10 4 2
direct
0.5836 0.1672 0.9492
0.4164 0.8328 0.4492
0.9829 0.9658 0.5257
0.2811 0.5623 0.3110
0.2987 0.5973 0.7087
0.4775 0.9550 0.7365
0.0171 0.0342 0.0257
0.7189 0.4377 0.8110
0.7013 0.4027 0.2087
0.3904 0.7808 0.0243
0.5225 0.0450 0.2365
0.6096 0.2192 0.5243
0.1139 0.2277 0.3202
0.1105 0.2210 0.7356
0.8861 0.7723 0.8202
0.8895 0.7790 0.2356
0.2002 0.4004 0.0125
0.7998 0.5996 0.5125
```

Output
The volume comes out at 32.590 Å³ per atom. The density of states at the Fermi level is 28.18 states/eV per cell. The energy of formation from the pure elements is 0.162 eV/atom. The space group is Cmc2_1.

[10]
The following is a GGA-PBE calculation of crystalline ZrHg2SF at its relaxed geometry, from Alexandria via LeMat-Bulk.

The structure in POSCAR format:
```
ZrHg2SF
1.0
5.2440 0.0000 0.0000
0.0000 4.7925 0.0000
0.0000 0.0000 5.2440
Hg Zr S F
2 1 1 1
direct
0.0000 0.0000 0.5000
0.5000 0.0000 0.0000
0.0000 0.5000 0.0000
0.0000 0.0000 0.0000
0.5000 0.5000 0.5000
```

Output
The volume comes out at 26.358 Å³ per atom. The density of states at the Fermi level is 4.34 states/eV per cell. The space group is P4/mmm.

[11]
The following is a GGA-PBE calculation of crystalline Ta2Mn at its relaxed geometry, from Alexandria via LeMat-Bulk.

The structure in POSCAR format:
```
Ta2Mn
1.0
2.3261 -4.0289 0.0000
2.3261 4.0289 0.0000
0.0000 0.0000 5.1936
Ta Mn
4 2
direct
0.6667 0.3333 0.2500
0.0000 0.0000 0.0000
0.3333 0.6667 0.7500
0.0000 0.0000 0.5000
0.3333 0.6667 0.2500
0.6667 0.3333 0.7500
```

Output
The volume comes out at 16.224 Å³ per atom. The density of states at the Fermi level is 7.34 states/eV per cell. The energy of formation from the pure elements is 0.172 eV/atom. The space group is P6_3/mmc.

[12]
The following is a GGA-PBE calculation of crystalline LaHgIN2 at its relaxed geometry, from Alexandria via LeMat-Bulk.

The structure in POSCAR format:
```
LaHgIN2
1.0
4.5098 0.0000 0.0000
0.0000 4.5098 0.0000
0.0000 0.0000 5.6182
La Hg I N
1 1 1 2
direct
0.5000 0.5000 0.5000
0.0000 0.0000 0.0000
0.0000 0.0000 0.5000
0.0000 0.5000 0.0000
0.5000 0.0000 0.0000
```

Output
The volume comes out at 22.852 Å³ per atom. The density of states at the Fermi level is 2.94 states/eV per cell. The space group is P4/mmm.

[13]
The following is a GGA-PBE calculation of crystalline TaTi at its relaxed geometry, from Alexandria via LeMat-Bulk.

The structure in POSCAR format:
```
TaTi
1.0
5.3679 0.0000 0.0000
0.0000 5.3679 0.0000
0.0000 0.0000 5.3679
Ta Ti
4 4
direct
0.5000 0.5000 0.5000
0.0000 0.0000 0.5000
0.5000 0.0000 0.0000
0.0000 0.5000 0.0000
0.0000 0.5000 0.5000
0.5000 0.0000 0.5000
0.5000 0.5000 0.0000
0.0000 0.0000 0.0000
```

Output
The volume comes out at 19.334 Å³ per atom. The density of states at the Fermi level is 13.12 states/eV per cell. The energy of formation from the pure elements is 1.042 eV/atom. The space group is Fm-3m.

[14]
The following is a GGA-PBE calculation of crystalline La2NdNi2 at its relaxed geometry, from Alexandria via LeMat-Bulk.

The structure in POSCAR format:
```
La2NdNi2
1.0
-0.6901 -2.2916 3.1241
1.5157 -3.5717 -2.2851
5.9350 3.0751 3.5668
La Nd Ni
2 1 2
direct
0.5000 0.6500 0.3000
0.5000 0.3500 0.7000
0.0000 0.0000 0.0000
0.0000 0.2020 0.4041
0.0000 0.7980 0.5959
```

Output
The volume comes out at 25.640 Å³ per atom. The density of states at the Fermi level is 4.11 states/eV per cell. The energy of formation from the pure elements is -0.243 eV/atom. The space group is Cmmm.

Taking the records one at a time from the top gives E_tot values of -3.125; -3.851; -5.486; -4.570; -3.194; -7.849; -5.056; -2.630; -4.443; -3.081; -10.786; -3.614; -8.831; -5.480 eV per atom.